No. 1
VASP calculation (PBE) on a relaxed Li2Sc2Ga2IrAu crystal.

## Properties
ρ: 8.1 g/cm³
Crystal system: tetragonal
E: -4.982 eV/atom

Cell lengths 4.4884, 4.4884, 6.4198 Å; angles 90.00, 90.00, 90.00 degrees
Sites, in units of the cell vectors:
Li  0.0000  0.0000  0.0000
Li  0.5000  0.5000  0.5000
Sc  0.0000  0.5000  0.2386
Sc  0.5000  0.0000  0.7614
Ga  0.0000  0.5000  0.7668
Ga  0.5000  0.0000  0.2332
Ir  0.5000  0.5000  0.0000
Au  0.0000  0.0000  0.5000

---

No. 2
VASP calculation (PBE) on a relaxed Ag2N crystal.

## Properties
Energy above the lowest structure with this stoichiometry: 146.6 meV per atom
ρ: 3.8 g/cm³
Crystal system: cubic

Cell lengths 6.5737, 6.5737, 6.5737 Å; angles 60.00, 60.00, 60.00 degrees
Sites, in units of the cell vectors:
Ag  0.0000  0.0000  0.0000
Ag  0.0000  0.0000  0.5000
Ag  0.0000  0.5000  0.0000
Ag  0.5000  0.0000  0.0000
N  0.1250  0.1250  0.1250
N  0.8750  0.8750  0.8750

---

No. 3
VASP calculation (PBE) on a relaxed NpTlAgTe3 crystal.

## Properties
ρ: 8.0 g/cm³
Crystal system: orthorhombic
E: -5.046 eV/atom

Cell lengths 7.9768, 7.9768, 11.4152 Å; angles 90.00, 90.00, 147.97 degrees
Sites, in units of the cell vectors:
Np  0.0000  0.0000  0.0000
Np  0.0000  0.0000  0.5000
Tl  0.2446  0.7554  0.7500
Tl  0.7554  0.2446  0.2500
Ag  0.4590  0.5410  0.2500
Ag  0.5410  0.4590  0.7500
Te  0.0752  0.9248  0.2500
Te  0.3632  0.6368  0.0430
Te  0.3632  0.6368  0.4570
Te  0.6368  0.3632  0.5430
Te  0.6368  0.3632  0.9570
Te  0.9248  0.0752  0.7500

---

No. 4
VASP calculation (PBE) on a relaxed RbSrNi crystal.

## Properties
Energy above the lowest structure with this stoichiometry: 497.0 meV per atom
ρ: 3.3 g/cm³
Crystal system: cubic

Cell lengths 5.5052, 5.5052, 5.5052 Å; angles 60.00, 60.00, 60.00 degrees
Sites, in units of the cell vectors:
Rb  0.0000  0.0000  0.0000
Sr  0.2500  0.2500  0.2500
Ni  0.7500  0.7500  0.7500

---

No. 5
VASP calculation (PBE) on a relaxed RbZrAu3O4 crystal.

## Properties
ρ: 7.4 g/cm³
Crystal system: cubic
E: -5.186 eV/atom

Cell lengths 5.7185, 5.7185, 5.7185 Å; angles 90.00, 90.00, 90.00 degrees
Sites, in units of the cell vectors:
Rb  0.0000  0.0000  0.0000
Zr  0.5000  0.5000  0.5000
Au  0.0000  0.5000  0.5000
Au  0.5000  0.0000  0.5000
Au  0.5000  0.5000  0.0000
O  0.2929  0.2929  0.2929
O  0.2929  0.7071  0.7071
O  0.7071  0.2929  0.7071
O  0.7071  0.7071  0.2929

---

No. 6
VASP calculation (PBE) on a relaxed PrZrPd2 crystal.

## Properties
ρ: 8.4 g/cm³
E_form: -60.6 kJ per mole of atoms
Crystal system: orthorhombic

Cell lengths 4.5626, 5.6331, 5.6331 Å; angles 37.17, 90.00, 90.00 degrees
Sites, in units of the cell vectors:
Pr  0.0000  0.0000  0.0000
Zr  0.5000  0.2778  0.2778
Pd  0.0000  0.7323  0.7323
Pd  0.5000  0.5611  0.5611

---

No. 7
VASP calculation (PBE) on a relaxed AgGeSb2 crystal.

## Properties
ρ: 7.4 g/cm³
Crystal system: cubic
E: -3.610 eV/atom

Cell lengths 5.1136, 5.1136, 5.1136 Å; angles 60.00, 60.00, 60.00 degrees
Sites, in units of the cell vectors:
Ag  0.0000  0.0000  0.0000
Ge  0.7500  0.7500  0.7500
Sb  0.2500  0.2500  0.2500
Sb  0.5000  0.5000  0.5000

---

No. 8
VASP calculation (PBE) on a relaxed Y2GaAu crystal.

## Properties
ρ: 7.7 g/cm³
Crystal system: orthorhombic
E: -5.554 eV/atom

Cell lengths 4.4145, 5.9055, 5.9055 Å; angles 38.48, 90.00, 90.00 degrees
Sites, in units of the cell vectors:
Y  0.0000  0.0000  0.0000
Y  0.5000  0.2868  0.2868
Ga  0.5000  0.5624  0.5624
Au  0.0000  0.7240  0.7240

---

No. 9
VASP calculation (PBE) on a relaxed TlCoReIr crystal.

## Properties
Energy above the lowest structure with this stoichiometry: 0.0 meV per atom
ρ: 17.0 g/cm³
Crystal system: cubic

Cell lengths 4.4557, 4.4557, 4.4557 Å; angles 60.00, 60.00, 60.00 degrees
Sites, in units of the cell vectors:
Tl  0.0000  0.0000  0.0000
Co  0.2500  0.2500  0.2500
Re  0.5000  0.5000  0.5000
Ir  0.7500  0.7500  0.7500

---

No. 10
VASP calculation (PBE) on a relaxed TbInPd crystal.

## Properties
ρ: 9.6 g/cm³
Crystal system: hexagonal
E: -4.994 eV/atom

Cell lengths 7.4943, 7.4943, 4.0570 Å; angles 90.00, 90.00, 120.00 degrees
Sites, in units of the cell vectors:
Tb  0.0000  0.5891  0.0000
Tb  0.4109  0.4109  0.0000
Tb  0.5891  0.0000  0.0000
In  0.0000  0.2538  0.5000
In  0.2538  0.0000  0.5000
In  0.7462  0.7462  0.5000
Pd  0.0000  0.0000  0.0000
Pd  0.3333  0.6667  0.5000
Pd  0.6667  0.3333  0.5000

---

No. 11
VASP calculation (PBE) on a relaxed YFe2Pt crystal.

## Properties
ρ: 9.9 g/cm³
E_form: -13.7 kJ per mole of atoms
Crystal system: cubic

Cell lengths 4.5463, 4.5463, 4.5463 Å; angles 60.00, 60.00, 60.00 degrees
Sites, in units of the cell vectors:
Y  0.0000  0.0000  0.0000
Fe  0.2500  0.2500  0.2500
Fe  0.5000  0.5000  0.5000
Pt  0.7500  0.7500  0.7500

---

No. 12
VASP calculation (PBE) on a relaxed Ho2Er3Tm3 crystal.

## Properties
ρ: 9.1 g/cm³
E_form: 0.0 kJ per mole of atoms
Crystal system: hexagonal

Cell lengths 7.1353, 7.1353, 5.5278 Å; angles 90.00, 90.00, 120.00 degrees
Sites, in units of the cell vectors:
Ho  0.0000  0.0000  0.0000
Ho  0.3333  0.6667  0.5000
Er  0.3337  0.1668  0.5000
Er  0.8332  0.1668  0.5000
Er  0.8332  0.6663  0.5000
Tm  0.5003  0.0005  0.0000
Tm  0.5003  0.4997  0.0000
Tm  0.9995  0.4997  0.0000